[1]
A plane-wave DFT calculation with PBE was carried out for a geometry-optimized Cs3Ho3InTe8 structure.

The structure in POSCAR format:
```
Cs3Ho3InTe8
1.0
7.648 -4.404 0.000
7.648 4.404 0.000
-5.109 0.000 9.232
Cs Ho In Te
3 3 1 8
Cartesian
0.000 0.000 0.000
3.824 2.202 0.000
3.824 -2.202 0.000
1.270 2.202 4.616
1.270 -2.202 4.616
5.094 0.000 4.616
-2.554 0.000 4.616
-0.007 0.000 6.344
3.816 2.199 6.346
2.546 0.000 2.858
6.372 2.199 2.886
3.816 -2.199 6.346
7.642 0.000 6.374
6.372 -2.199 2.886
10.195 0.000 2.888
```

Calculated values
Its density of states at the Fermi level is 6.6 states/eV/f.u. As for the total energy: -4.043 eV per atom. The volume is 622.0 Å³ per cell.

[2]
A plane-wave DFT calculation with PBE was carried out for a geometry-optimized YZr5N6 structure.

The structure in POSCAR format:
```
YZr5N6
1.0
2.850 -4.940 0.000
2.850 4.940 0.000
-1.900 0.000 5.388
Y Zr N
1 5 6
Cartesian
0.000 0.000 0.000
1.900 3.296 2.694
2.850 1.649 0.000
1.900 0.000 2.694
2.850 -1.649 0.000
1.900 -3.296 2.694
0.967 1.677 1.384
0.039 0.000 4.025
0.967 -1.677 1.384
2.832 1.677 4.004
3.761 0.000 1.363
2.832 -1.677 4.004
```

Calculated values
Its density of states at the Fermi level is 3.8 states/eV/f.u. As for the total energy: -9.948 eV per atom. The volume is 151.7 Å³ per cell.

[3]
A plane-wave DFT calculation with PBE was carried out for a geometry-optimized TmHfCoAg structure.

The structure in POSCAR format:
```
TmHfCoAg
1.0
0.000 3.366 3.366
3.366 0.000 3.366
3.366 3.366 0.000
Tm Hf Co Ag
1 1 1 1
Cartesian
0.000 0.000 0.000
3.366 3.366 3.366
5.049 5.049 5.049
1.683 1.683 1.683
```

Calculated values
Its density of states at the Fermi level is 2.8 states/eV/f.u. As for the total energy: -6.206 eV per atom. The volume is 76.3 Å³ per cell.

Please write out number 2 again, unchanged.
A plane-wave DFT calculation with PBE was carried out for a geometry-optimized YZr5N6 structure.

The structure in POSCAR format:
```
YZr5N6
1.0
2.850 -4.940 0.000
2.850 4.940 0.000
-1.900 0.000 5.388
Y Zr N
1 5 6
Cartesian
0.000 0.000 0.000
1.900 3.296 2.694
2.850 1.649 0.000
1.900 0.000 2.694
2.850 -1.649 0.000
1.900 -3.296 2.694
0.967 1.677 1.384
0.039 0.000 4.025
0.967 -1.677 1.384
2.832 1.677 4.004
3.761 0.000 1.363
2.832 -1.677 4.004
```

Calculated values
Its density of states at the Fermi level is 3.8 states/eV/f.u. As for the total energy: -9.948 eV per atom. The volume is 151.7 Å³ per cell.